1.
The following is a PBE-GGA calculation of a relaxed PmHoTeP crystal, from Alexandria.

abc: 4.1139 4.1139 22.0555
angles: 90.00 90.00 120.00
Closest atoms and distances in Å follow each position.
Sites, in units of the cell vectors:
Pm 0.0000 0.0000 0.0000  3 P 2.85
Pm 0.3333 0.6667 0.6667  3 P 2.85
Pm 0.6667 0.3333 0.3333  3 P 2.85
Ho 0.0000 0.0000 0.1937  3 P 2.81
Ho 0.3333 0.6667 0.8604  3 P 2.81
Ho 0.6667 0.3333 0.5270  3 P 2.81
Te 0.0000 0.0000 0.4324  3 Ho 3.16, 3 Pm 3.23
Te 0.3333 0.6667 0.0990  3 Ho 3.16, 3 Pm 3.23
Te 0.6667 0.3333 0.7657  3 Ho 3.16, 3 Pm 3.23
P 0.0000 0.0000 0.5954  3 Ho 2.81, 3 Pm 2.85
P 0.3333 0.6667 0.2620  3 Ho 2.81, 3 Pm 2.85
P 0.6667 0.3333 0.9287  3 Ho 2.81, 3 Pm 2.85

Computed properties:
Total DFT energy (no corrections), eV/atom: -5.99
Energy relative to the elements, uncorrected, eV/atom: -1.516
M_tot, μB per atom: 0.000
SG: R3m


2.
The following is a PBE-GGA calculation of a relaxed PmHo2Th3P6 crystal, from Alexandria.

abc: 7.1022 7.1022 7.0519
angles: 99.68 99.68 119.92
Closest atoms and distances in Å follow each position.
Sites, in units of the cell vectors:
Pm 0.0000 0.0000 0.0000  6 P 2.90
Ho 0.3329 0.6671 0.0000  6 P 2.86
Ho 0.6671 0.3329 0.0000  6 P 2.86
Th 0.1657 0.8343 0.5000  6 P 2.89-2.93
Th 0.5000 0.5000 0.5000  6 P 2.89-2.92
Th 0.8343 0.1657 0.5000  6 P 2.89-2.93
P 0.0818 0.4202 0.2453  2 Ho 2.86, 3 Th 2.89-2.93, 1 Pm 2.90
P 0.2572 0.2572 0.7559  2 Ho 2.86, 3 Th 2.89-2.92, 1 Pm 2.90
P 0.4202 0.0818 0.2453  2 Ho 2.86, 3 Th 2.89-2.93, 1 Pm 2.90
P 0.5798 0.9182 0.7547  2 Ho 2.86, 3 Th 2.89-2.93, 1 Pm 2.90
P 0.7428 0.7428 0.2441  2 Ho 2.86, 3 Th 2.89-2.92, 1 Pm 2.90
P 0.9182 0.5798 0.7547  2 Ho 2.86, 3 Th 2.89-2.93, 1 Pm 2.90

Computed properties:
Total DFT energy (no corrections), eV/atom: -7.30
M_tot, μB per atom: 0.000
ΔH_f (0 K), kJ per mole of atoms: -152
SG: C2/m


3.
The following is a PBE-GGA calculation of a relaxed Pm3HoTh2P6 crystal, from Alexandria.

abc: 9.2048 9.2048 8.2225
angles: 103.03 103.03 25.86
Closest atoms and distances in Å follow each position.
Sites, in units of the cell vectors:
Pm 0.0000 0.0000 0.0000  6 P 2.92-2.95
Pm 0.3340 0.3340 0.6656  6 P 2.90-2.96
Pm 0.6660 0.6660 0.3344  6 P 2.90-2.96
Ho 0.0000 0.0000 0.5000  6 P 2.87-2.88
Th 0.3354 0.3354 0.1702  6 P 2.87-2.93
Th 0.6646 0.6646 0.8298  6 P 2.87-2.93
P 0.1642 0.1642 0.5828  1 Ho 2.87, 2 Th 2.89, 3 Pm 2.91-2.96
P 0.1674 0.1674 0.0820  3 Th 2.92-2.93, 3 Pm 2.92-2.93
P 0.4999 0.4999 0.2560  1 Th 2.87, 2 Ho 2.88, 3 Pm 2.90-2.95
P 0.5001 0.5001 0.7440  1 Th 2.87, 2 Ho 2.88, 3 Pm 2.90-2.95
P 0.8326 0.8326 0.9180  3 Th 2.92-2.93, 3 Pm 2.92-2.93
P 0.8358 0.8358 0.4172  1 Ho 2.87, 2 Th 2.89, 3 Pm 2.91-2.96

Computed properties:
Total DFT energy (no corrections), eV/atom: -7.10
M_tot, μB per atom: 0.000
ΔH_f (0 K), kJ per mole of atoms: -153
SG: C2/m


Taking the records one at a time from the top gives calculated volume values of 323.3; 290.4; 295.7 Å³/cell.